Record 1
First-principles (PBE-GGA) data for a relaxed Pr7Y16Ho6 crystal, as listed in Alexandria.

Values from the calculation:
The space-group type is Fm-3m. For the density of states at the Fermi level, the calculation gives 52.7 states/eV per cell. Its formation energy is 0.186 eV/atom. The calculation puts the density at 5.79 g/cm³.

Unit cell a=11.1318 b=11.1318 c=11.1318 alpha=60.00 beta=60.00 gamma=60.00
Fractional coordinates of all 29 atoms:
1 Pr 0.0000 0.0000 0.0000
2 Pr 0.0000 0.0000 0.5000
3 Pr 0.0000 0.5000 0.0000
4 Pr 0.0000 0.5000 0.5000
5 Pr 0.5000 0.0000 0.0000
6 Pr 0.5000 0.0000 0.5000
7 Pr 0.5000 0.5000 0.0000
8 Y 0.1499 0.1499 0.1499
9 Y 0.1499 0.1499 0.5502
10 Y 0.1499 0.5502 0.1499
11 Y 0.1625 0.6125 0.6125
12 Y 0.3875 0.3875 0.3875
13 Y 0.3875 0.3875 0.8375
14 Y 0.3875 0.8375 0.3875
15 Y 0.4498 0.8501 0.8501
16 Y 0.5502 0.1499 0.1499
17 Y 0.6125 0.1625 0.6125
18 Y 0.6125 0.6125 0.1625
19 Y 0.6125 0.6125 0.6125
20 Y 0.8375 0.3875 0.3875
21 Y 0.8501 0.4498 0.8501
22 Y 0.8501 0.8501 0.4498
23 Y 0.8501 0.8501 0.8501
24 Ho 0.2251 0.2251 0.7749
25 Ho 0.2251 0.7749 0.2251
26 Ho 0.2251 0.7749 0.7749
27 Ho 0.7749 0.2251 0.2251
28 Ho 0.7749 0.2251 0.7749
29 Ho 0.7749 0.7749 0.2251

---

Record 2
First-principles (PBE-GGA) data for a relaxed Pr4YHo5 crystal, as listed in Alexandria.

Values from the calculation:
The space-group type is P4/mmm. For the density of states at the Fermi level, the calculation gives 18.5 states/eV per cell. Its formation energy is 0.099 eV/atom. The value obtained for the relative energy among the computed polymorphs is 0.00 eV/f.u. The calculation puts the density at 7.35 g/cm³.

Unit cell a=4.1967 b=4.1967 c=18.9604 alpha=90.00 beta=90.00 gamma=90.00
Fractional coordinates of all 10 atoms:
1 Pr 0.0000 0.0000 0.1009
2 Pr 0.0000 0.0000 0.3008
3 Pr 0.0000 0.0000 0.6992
4 Pr 0.0000 0.0000 0.8991
5 Y 0.0000 0.0000 0.5000
6 Ho 0.5000 0.5000 0.0000
7 Ho 0.5000 0.5000 0.2006
8 Ho 0.5000 0.5000 0.4030
9 Ho 0.5000 0.5000 0.5970
10 Ho 0.5000 0.5000 0.7994

---

Record 3
First-principles (PBE-GGA) data for a relaxed Pr8Y2Ho3 crystal, as listed in Alexandria.

Values from the calculation:
The space-group type is P-1. For the density of states at the Fermi level, the calculation gives 18.5 states/eV per cell. Its formation energy is 0.195 eV/atom. The calculation puts the density at 6.47 g/cm³.

Unit cell a=5.7792 b=7.7622 c=11.0065 alpha=110.63 beta=90.02 gamma=90.00
Fractional coordinates of all 13 atoms:
1 Pr 0.9998 0.0992 0.2900
2 Pr 0.0002 0.3092 0.7100
3 Pr 0.9998 0.6908 0.2900
4 Pr 0.0002 0.9008 0.7100
5 Pr 0.4994 0.6303 0.7603
6 Pr 0.4991 0.8269 0.1544
7 Pr 0.5009 0.1731 0.8456
8 Pr 0.5006 0.3697 0.2397
9 Y 0.0012 0.2610 0.0209
10 Y 0.9988 0.7390 0.9791
11 Ho 0.0000 0.5000 0.5000
12 Ho 0.5000 0.2151 0.5000
13 Ho 0.5000 0.7849 0.5000

---

> Which value of formation energy does entry 2 give?

0.099 eV/atom

---

> Which of these has the highest formation energy?

Pr8Y2Ho3

---

> Which formula does entry 2 have?

Pr4YHo5

---

> Among the records above, which one has the highest formation energy?

Pr8Y2Ho3